MnTc2PdO after structural relaxation. Source: Alexandria via LeMat-Bulk, functional GGA+U.

The structure in POSCAR format:
```
MnTc2PdO
1.0
-3.349 1.510 1.659
1.389 -1.186 3.884
1.825 3.567 0.437
Tc Pd Mn O
2 1 1 1
direct
0.500 0.000 0.000 Tc
0.000 0.000 0.500 Tc
0.500 0.500 0.500 Pd
0.000 0.500 0.000 Mn
0.000 0.000 0.000 O
```

Calculated values
Crystal system: tetragonal
Total energy: -0.283 hartree per atom
Calculated volume: 70 Å³ per cell
Space-group type: P4/mmm